Record 1
# GGA-PBE NdTl2InCl6, relaxed
# raw formation energy: -1496 meV/atom
# final energy: -38.28 eV for the cell shown
data_NdTl2InCl6
_chemical_formula_sum 'Nd1 Tl2 In1 Cl6'
_cell_length_a 7.905
_cell_length_b 7.914
_cell_length_c 8.114
_cell_angle_alpha 90.03
_cell_angle_beta 119.15
_cell_angle_gamma 119.96
_symmetry_space_group_name_H-M 'P 1'
_symmetry_Int_Tables_number 1
_symmetry_space_group_name_Hall 'P 1'
loop_
_atom_site_label
_atom_site_type_symbol
_atom_site_fract_x
_atom_site_fract_y
_atom_site_fract_z
Nd1 Nd 0.000 0.000 0.000
Tl1 Tl 0.580 0.790 0.369
Tl2 Tl 0.596 0.298 0.893
In1 In 0.019 0.509 0.528
Cl1 Cl 0.084 0.889 0.737
Cl2 Cl 0.086 0.750 0.210
Cl3 Cl 0.460 0.336 0.210
Cl4 Cl 0.542 0.653 0.736
Cl5 Cl 0.847 0.194 0.736
Cl6 Cl 0.874 0.124 0.210

***

Record 2
# GGA-PBE KCeMgBr6, relaxed
# raw formation energy: -1691 meV/atom
# final energy: -67.76 eV for the cell shown
data_KCeMgBr6
_chemical_formula_sum 'K2 Ce2 Mg2 Br12'
_cell_length_a 7.3203
_cell_length_b 7.3203
_cell_length_c 14.4636
_cell_angle_alpha 90.00
_cell_angle_beta 90.00
_cell_angle_gamma 120.00
_symmetry_space_group_name_H-M 'P -3 1 c'
_symmetry_Int_Tables_number 163
_symmetry_space_group_name_Hall '-P 3 2c'
loop_
_atom_site_label
_atom_site_type_symbol
_atom_site_fract_x
_atom_site_fract_y
_atom_site_fract_z
K1 K 0.0000 0.0000 0.0000
Ce1 Ce 0.3333 0.6667 0.2500
Mg1 Mg 0.3333 0.6667 0.7500
Br1 Br 0.0225 0.3784 0.6397